# Pm2MgGa2

A relaxed structure of Pm2MgGa2 (PBE, Alexandria via LeMat-Bulk).

Calculated formation energy in eV/atom: -0.521
Magnetization in μB per cell: 0.00
ρ in g/cm3: 5.99
Final energy in Ry per atom: -0.2904

Geometry as CIF:
```
data_Pm2MgGa2
_chemical_formula_sum 'Pm4 Mg2 Ga4'
_cell_length_a 7.5548
_cell_length_b 7.5548
_cell_length_c 4.4055
_cell_angle_alpha 90.00
_cell_angle_beta 90.00
_cell_angle_gamma 90.00
_space_group_name_H-M_alt 'P 4/m b m'
_space_group_IT_number 127
_space_group_name_Hall '-P 4 2ab'
loop_
_atom_site_label
_atom_site_type_symbol
_atom_site_fract_x
_atom_site_fract_y
_atom_site_fract_z
Pm1 Pm 0.1743 0.3257 0.0000
Mg1 Mg 0.0000 0.0000 0.5000
Ga1 Ga 0.1235 0.6235 0.5000
```